Crystalline CaAl3Tc at its relaxed geometry. Source: the Alexandria database, functional PBE-GGA.

Properties
Formation energy   -235 meV/atom
Spin magnetization   0.00 μB per cell
Fermi-level density of states   0.249 states/eV/atom

a = 4.789 Å, b = 4.789 Å, c = 4.789 Å
α = 90.00°, β = 90.00°, γ = 90.00°
Positions (direct):
1 Ca 0.500 0.500 0.500
2 Al 0.500 0.000 0.000
3 Al 0.000 0.500 0.000
4 Al 0.000 0.000 0.500
5 Tc 0.000 0.000 0.000

Crystalline SrAl2InAg4 at its relaxed geometry. Source: the Alexandria database, functional PBE-GGA.

Properties
Formation energy   -96 meV/atom
Spin magnetization   0.00 μB per cell
Fermi-level density of states   0.580 states/eV/atom

a = 4.553 Å, b = 4.553 Å, c = 10.247 Å
α = 77.16°, β = 77.16°, γ = 60.00°
Positions (direct):
1 Sr 0.000 0.000 0.000
2 Al 0.247 0.247 0.259
3 Al 0.753 0.753 0.741
4 Ag 0.595 0.595 0.214
5 Ag 0.880 0.880 0.361
6 Ag 0.120 0.120 0.639
7 Ag 0.405 0.405 0.786
8 In 0.500 0.500 0.500

Crystalline Nd3ZnCd2 at its relaxed geometry. Source: the Alexandria database, functional PBE-GGA.

Properties
Formation energy   -316 meV/atom
Spin magnetization   0.29 μB per cell
Fermi-level density of states   1.209 states/eV/atom

a = 3.761 Å, b = 3.761 Å, c = 11.630 Å
α = 90.00°, β = 90.00°, γ = 90.00°
Last column: magnetic moment on the atom in μB.
Positions (direct):
1 Zn 0.500 0.500 0.500  0.00
2 Cd 0.500 0.500 0.174  0.00
3 Cd 0.500 0.500 0.826  0.00
4 Nd 0.000 0.000 0.000  0.11
5 Nd 0.000 0.000 0.650  0.01
6 Nd 0.000 0.000 0.350  0.01

Crystalline BiPdPtO4 at its relaxed geometry. Source: the Alexandria database, functional PBE-GGA.

Properties
VASP energy   -0.404 Ry per atom
Spin magnetization   1.12 μB per cell
Fermi-level density of states   0.530 states/eV/atom

a = 6.063 Å, b = 6.875 Å, c = 7.427 Å
α = 122.69°, β = 90.00°, γ = 116.16°
Last column: magnetic moment on the atom in μB.
Positions (direct):
1 O 0.383 0.209 0.854  0.02
2 O 0.269 0.537 0.696  0.07
3 O 0.174 0.791 0.146  0.02
4 O 0.731 0.463 0.659  0.07
5 O 0.731 0.463 0.304  0.07
6 O 0.269 0.537 0.341  0.07
7 O 0.826 0.209 0.854  0.02
8 O 0.617 0.791 0.146  0.02
9 Pd 0.234 0.468 0.984  0.27
10 Pd 0.766 0.532 0.016  0.27
11 Pt 0.000 0.500 0.500  0.08
12 Pt 0.500 0.500 0.500  0.08
13 Bi 0.500 0.000 0.000  0.00
14 Bi 0.500 0.000 0.500  0.00

Crystalline La3Tb8Sm3 at its relaxed geometry. Source: the Alexandria database, functional PBE-GGA.

Properties
Formation energy   99 meV/atom
Spin magnetization   0.00 μB per cell
Fermi-level density of states   1.517 states/eV/atom

a = 5.741 Å, b = 9.828 Å, c = 9.828 Å
α = 102.43°, β = 73.01°, γ = 73.01°
Positions (direct):
1 La 0.500 0.000 0.000
2 La 0.000 0.815 0.185
3 La 0.000 0.185 0.815
4 Tb 0.160 0.442 0.238
5 Tb 0.840 0.558 0.762
6 Tb 0.338 0.881 0.442
7 Tb 0.840 0.762 0.558
8 Tb 0.338 0.442 0.881
9 Tb 0.662 0.558 0.119
10 Tb 0.160 0.238 0.442
11 Tb 0.662 0.119 0.558
12 Sm 0.201 0.799 0.799
13 Sm 0.500 0.500 0.500
14 Sm 0.799 0.201 0.201

Crystalline SrYCrSi2 at its relaxed geometry. Source: the Alexandria database, functional PBE-GGA.

Properties
VASP energy   -0.349 Ry per atom
Spin magnetization   0.13 μB per cell
Fermi-level density of states   1.319 states/eV/atom

a = 5.370 Å, b = 4.783 Å, c = 5.370 Å
α = 90.00°, β = 90.00°, γ = 90.00°
Positions (direct):
1 Cr 0.000 0.500 0.000
2 Y 0.000 0.000 0.000
3 Si 0.000 0.000 0.500
4 Si 0.500 0.000 0.000
5 Sr 0.500 0.500 0.500

Crystalline SmDy2ZrSc4 at its relaxed geometry. Source: the Alexandria database, functional PBE-GGA.

Properties
Formation energy   57 meV/atom
Spin magnetization   0.00 μB per cell
Fermi-level density of states   1.526 states/eV/atom

a = 4.791 Å, b = 4.802 Å, c = 10.469 Å
α = 62.74°, β = 90.00°, γ = 90.00°
Positions (direct):
1 Sc 0.500 0.262 0.738
2 Sc 0.500 0.738 0.262
3 Sc 0.000 0.762 0.738
4 Sc 0.000 0.238 0.262
5 Sm 0.500 0.500 0.000
6 Dy 0.500 0.000 0.500
7 Dy 0.000 0.000 0.000
8 Zr 0.000 0.500 0.500

no.,calculated volume (A^3/atom)
1,21.97
2,22.23
3,27.41
4,15.85
5,34.22
6,27.58
7,26.76